LiCaMn2: relaxed, PBE.

## Properties
E above lowest polymorph in meV per atom: 290.4
Total magnetic moment in Bohr magnetons per cell: 7.669

Cell: 4.894 4.894 4.894 Å, 60.00 60.00 60.00°
Fractional positions:
1 Li 0.000 0.000 0.000
2 Ca 0.500 0.500 0.500
3 Mn 0.250 0.250 0.250
4 Mn 0.750 0.750 0.750